No. 1
The following is a DFT calculation (PBE-GGA) of a geometry-optimized K2FeRh2Se6 structure.

The calculation puts the total energy at -4.80 eV/atom. For the calculated volume, the calculation gives 546.2 Å³/cell. For the formation energy (no corrections), the calculation gives -0.595 eV per atom. As for the density of states at the Fermi level: 10.9 states/eV per cell.

The space group is C2/m (No. 12) and the conventional cell measures 6.4960, 11.2684 and 7.7972 Å, with angles of 90.00, 106.87 and 90.00 degrees. The asymmetric unit holds K at (0.0000, 0.1693, 0.0000), Fe at (0.0000, 0.0000, 0.5000), Rh at (0.0000, 0.3320, 0.5000), Se at (0.2215, 0.1613, 0.6676) and Se at (0.2319, 0.5000, 0.6676).



No. 2
The following is a DFT calculation (PBE-GGA) of a geometry-optimized NaU2Cu2Se6 structure.

The calculation puts the total energy at -5.66 eV/atom. For the calculated volume, the calculation gives 295.5 Å³/cell. For the formation energy (no corrections), the calculation gives -0.847 eV per atom. As for the density of states at the Fermi level: 9.8 states/eV per cell.

The space group is P-1 (No. 2) and the conventional cell measures 7.1924, 7.3112 and 7.4942 Å, with angles of 63.53, 63.51 and 61.24 degrees. The asymmetric unit holds Na at (0.0000, 0.0000, 0.0000), U at (0.3290, 0.3316, 0.0055), Cu at (0.4596, 0.6795, 0.5644), Se at (0.0836, 0.7117, 0.7579), Se at (0.2839, 0.5709, 0.2419) and Se at (0.4307, 0.0732, 0.7618).



No. 3
The following is a DFT calculation (PBE-GGA) of a geometry-optimized Tc2C structure.

As for the formation energy from the elements: 0.122 eV per atom. The calculation puts the total energy at -9.86 eV/atom. For the calculated volume, the calculation gives 107.0 Å³/cell. As for the density of states at the Fermi level: 8.2 states/eV per cell.

The space group is P-31m (No. 162) and the conventional cell measures 5.0063, 5.0063 and 4.9311 Å, with angles of 90.00, 90.00 and 120.00 degrees. The asymmetric unit holds Tc at (0.0000, 0.3471, 0.2345), C at (0.0000, 0.0000, 0.0000) and C at (0.3333, 0.6667, 0.5000).



No. 4
The following is a DFT calculation (PBE-GGA) of a geometry-optimized V3GaTc3 structure.

As for the formation energy from the elements: -0.071 eV per atom. The calculation puts the total energy at -8.85 eV/atom. For the calculated volume, the calculation gives 424.9 Å³/cell. As for the density of states at the Fermi level: 17.0 states/eV per cell.

The space group is Cmmm (No. 65) and the conventional cell measures 8.2133, 8.7176 and 5.9345 Å, with angles of 90.00, 90.00 and 90.00 degrees. The asymmetric unit holds V at (0.0000, 0.2311, 0.0000), V at (0.0000, 0.2641, 0.5000), V at (0.2455, 0.5000, 0.5000), Ga at (0.2136, 0.5000, 0.0000), Tc at (0.0000, 0.0000, 0.2546) and Tc at (0.2500, 0.2500, 0.2537).



No. 5
The following is a DFT calculation (PBE-GGA) of a geometry-optimized BaNb2Rh structure.

As for the formation energy from the elements: 0.741 eV per atom. The calculation puts the total energy at -6.61 eV/atom. For the calculated volume, the calculation gives 316.1 Å³/cell. As for the density of states at the Fermi level: 17.5 states/eV per cell.

The space group is Fm-3m (No. 225) and the conventional cell measures 6.8123, 6.8123 and 6.8123 Å, with angles of 90.00, 90.00 and 90.00 degrees. The asymmetric unit holds Ba at (0.0000, 0.0000, 0.0000), Nb at (0.2500, 0.2500, 0.2500) and Rh at (0.0000, 0.0000, 0.5000).



No. 6
The following is a DFT calculation (PBE-GGA) of a geometry-optimized CaAcPr3 structure.

As for the formation energy from the elements: 0.098 eV per atom. The calculation puts the total energy at -3.99 eV/atom. For the calculated volume, the calculation gives 392.9 Å³/cell. As for the density of states at the Fermi level: 14.2 states/eV per cell.

The space group is P2_1/m (No. 11) and the conventional cell measures 9.3180, 3.6876 and 12.2282 Å, with angles of 90.00, 110.77 and 90.00 degrees. The asymmetric unit holds Ca at (0.0457, 0.2500, 0.1453), Ac at (0.2735, 0.7500, 0.7395), Pr at (0.1526, 0.2500, 0.4614), Pr at (0.3560, 0.2500, 0.0354) and Pr at (0.4279, 0.7500, 0.3474).



No. 7
The following is a DFT calculation (PBE-GGA) of a geometry-optimized SmTeH2 structure.

The calculation puts the total energy at -4.30 eV/atom. For the calculated volume, the calculation gives 284.8 Å³/cell. As for the density of states at the Fermi level: 3.0 states/eV per cell.

The space group is Cmcm (No. 63) and the conventional cell measures 3.8728, 11.8249 and 6.2181 Å, with angles of 90.00, 90.00 and 90.00 degrees. The asymmetric unit holds Sm at (0.0000, 0.1960, 0.2500), Te at (0.0000, 0.4781, 0.2500) and H at (0.0000, 0.2611, 0.5809).



No. 8
The following is a DFT calculation (PBE-GGA) of a geometry-optimized Li12Tl5Sn2 structure.

As for the formation energy from the elements: -0.224 eV per atom. The calculation puts the total energy at -2.48 eV/atom. For the calculated volume, the calculation gives 780.7 Å³/cell. As for the density of states at the Fermi level: 9.9 states/eV per cell.

The space group is C2/m (No. 12) and the conventional cell measures 13.1359, 8.0885 and 7.3481 Å, with angles of 90.00, 90.12 and 90.00 degrees. The asymmetric unit holds Li at (0.0509, 0.0000, 0.1881), Li at (0.0849, 0.5000, 0.6312), Li at (0.1206, 0.2063, 0.8421), Li at (0.1494, 0.3115, 0.2473), Tl at (0.0000, 0.5000, 0.0000), Tl at (0.2114, 0.0000, 0.5087), Tl at (0.2483, 0.5000, 0.9358) and Sn at (0.0000, 0.1952, 0.5000).



No. 9
The following is a DFT calculation (PBE-GGA) of a geometry-optimized CrFePd5 structure.

As for the formation energy from the elements: 0.066 eV per atom. The calculation puts the total energy at -6.23 eV/atom. For the calculated volume, the calculation gives 110.1 Å³/cell. As for the density of states at the Fermi level: 8.7 states/eV per cell.

The space group is P4/mmm (No. 123) and the conventional cell measures 3.9813, 3.9813 and 6.9469 Å, with angles of 90.00, 90.00 and 90.00 degrees. The asymmetric unit holds Cr at (0.0000, 0.0000, 0.0000), Fe at (0.5000, 0.5000, 0.5000), Pd at (0.0000, 0.5000, 0.2764) and Pd at (0.5000, 0.5000, 0.0000).



No. 10
The following is a DFT calculation (PBE-GGA) of a geometry-optimized Cu3PdI4 structure.

The calculation puts the total energy at -3.03 eV/atom. For the calculated volume, the calculation gives 454.2 Å³/cell. For the formation energy (no corrections), the calculation gives -0.067 eV per atom. As for the density of states at the Fermi level: 14.2 states/eV per cell.

The space group is I-42m (No. 121) and the conventional cell measures 6.0852, 6.0852 and 12.2666 Å, with angles of 90.00, 90.00 and 90.00 degrees. The asymmetric unit holds Cu at (0.0000, 0.0000, 0.0000), Cu at (0.0000, 0.5000, 0.2500), Pd at (0.0000, 0.0000, 0.5000) and I at (0.2431, 0.2431, 0.8721).



No. 11
The following is a DFT calculation (PBE-GGA) of a geometry-optimized FeAgAs2 structure.

As for the formation energy from the elements: 0.065 eV per atom. The calculation puts the total energy at -5.09 eV/atom. For the calculated volume, the calculation gives 67.3 Å³/cell. As for the density of states at the Fermi level: 1.5 states/eV per cell.

The space group is P2/m (No. 10) and the conventional cell measures 2.9323, 2.9034 and 7.9069 Å, with angles of 90.00, 90.06 and 90.00 degrees. The asymmetric unit holds Fe at (0.0000, 0.0000, 0.0000), Ag at (0.5000, 0.0000, 0.5000) and As at (0.4994, 0.5000, 0.8159).



No. 12
The following is a DFT calculation (PBE-GGA) of a geometry-optimized Sc6SeS3 structure.

The calculation puts the total energy at -6.81 eV/atom. For the calculated volume, the calculation gives 393.8 Å³/cell. For the formation energy (no corrections), the calculation gives -1.428 eV per atom. As for the density of states at the Fermi level: 12.2 states/eV per cell.

The space group is P2_1/m (No. 11) and the conventional cell measures 10.7232, 3.6287 and 11.0757 Å, with angles of 90.00, 113.99 and 90.00 degrees. The asymmetric unit holds Sc at (0.0314, 0.2500, 0.3971), Sc at (0.1087, 0.7500, 0.9480), Sc at (0.2290, 0.7500, 0.2763), Sc at (0.2514, 0.2500, 0.7649), Sc at (0.4088, 0.2500, 0.5676), Sc at (0.4376, 0.2500, 0.1195), Se at (0.2117, 0.7500, 0.5616), S at (0.0232, 0.2500, 0.7765), S at (0.3471, 0.7500, 0.9399) and S at (0.4117, 0.2500, 0.3388).



No. 13
The following is a DFT calculation (PBE-GGA) of a geometry-optimized KNaPH structure.

The calculation puts the total energy at -3.12 eV/atom. For the calculated volume, the calculation gives 93.3 Å³/cell.

The space group is P3m1 (No. 156) and the conventional cell measures 4.9907, 4.9907 and 4.3244 Å, with angles of 90.00, 90.00 and 120.00 degrees. The asymmetric unit holds K at (0.0000, 0.0000, 0.0000), Na at (0.3333, 0.6667, 0.4879), P at (0.6667, 0.3333, 0.4912) and H at (0.6667, 0.3333, 0.8272).



No. 14
The following is a DFT calculation (PBE-GGA) of a geometry-optimized CePm2TmS4 structure.

The calculation puts the total energy at -6.57 eV/atom. For the calculated volume, the calculation gives 178.8 Å³/cell. For the formation energy (no corrections), the calculation gives -2.013 eV per atom. As for the density of states at the Fermi level: 7.2 states/eV per cell.

The space group is P2/m (No. 10) and the conventional cell measures 6.8933, 3.9632 and 6.9316 Å, with angles of 90.00, 109.20 and 90.00 degrees. The asymmetric unit holds Ce at (0.0000, 0.0000, 0.0000), Pm at (0.5000, 0.0000, 0.5000), Pm at (0.5000, 0.5000, 0.0000), Tm at (0.0000, 0.5000, 0.5000), S at (0.2371, 0.0000, 0.7380) and S at (0.2432, 0.5000, 0.2557).



No. 15
The following is a DFT calculation (PBE-GGA) of a geometry-optimized Y2TlSb structure.

The calculation puts the total energy at -5.61 eV/atom. For the calculated volume, the calculation gives 472.5 Å³/cell. For the formation energy (no corrections), the calculation gives -0.754 eV per atom. As for the density of states at the Fermi level: 9.2 states/eV per cell.

The space group is Cmcm (No. 63) and the conventional cell measures 4.4767, 24.0563 and 4.3872 Å, with angles of 90.00, 90.00 and 90.00 degrees. The asymmetric unit holds Y at (0.0000, 0.0635, 0.2500), Y at (0.0000, 0.3159, 0.2500), Tl at (0.0000, 0.4543, 0.2500) and Sb at (0.0000, 0.1883, 0.2500).



No. 16
The following is a DFT calculation (PBE-GGA) of a geometry-optimized CsBe2As2O7 structure.

The calculation puts the total energy at -5.90 eV/atom. For the calculated volume, the calculation gives 632.7 Å³/cell. For the formation energy (no corrections), the calculation gives -1.545 eV per atom. As for the density of states at the Fermi level: 18.4 states/eV per cell.

The space group is R32 (No. 155, hexagonal axes) and the conventional cell measures 5.2060, 5.2060 and 26.9568 Å, with angles of 90.00, 90.00 and 120.00 degrees. The asymmetric unit holds Cs at (0.0000, 0.0000, 0.0000), Be at (0.0000, 0.0000, 0.4432), As at (0.0000, 0.0000, 0.2294), O at (0.0000, 0.0000, 0.5000) and O at (0.0111, 0.4162, 0.0832).



No. 17
The following is a DFT calculation (PBE-GGA) of a geometry-optimized MgAlSb2 structure.

The calculation puts the total energy at -3.29 eV/atom. For the calculated volume, the calculation gives 292.2 Å³/cell. For the formation energy (no corrections), the calculation gives 0.108 eV per atom. As for the density of states at the Fermi level: 3.1 states/eV per cell.

The space group is R-3m (No. 166, hexagonal axes) and the conventional cell measures 3.3530, 3.3530 and 30.0083 Å, with angles of 90.00, 90.00 and 120.00 degrees. The asymmetric unit holds Mg at (0.0000, 0.0000, 0.0000), Al at (0.0000, 0.0000, 0.5000) and Sb at (0.0000, 0.0000, 0.2536).



No. 18
The following is a DFT calculation (PBE-GGA) of a geometry-optimized PmAgBiRu structure.

As for the formation energy from the elements: -0.031 eV per atom. The calculation puts the total energy at -5.22 eV/atom. For the calculated volume, the calculation gives 351.2 Å³/cell. As for the density of states at the Fermi level: 18.4 states/eV per cell.

The space group is F-43m (No. 216) and the conventional cell measures 7.0552, 7.0552 and 7.0552 Å, with angles of 90.00, 90.00 and 90.00 degrees. The asymmetric unit holds Pm at (0.0000, 0.0000, 0.0000), Ag at (0.2500, 0.2500, 0.2500), Bi at (0.0000, 0.0000, 0.5000) and Ru at (0.2500, 0.2500, 0.7500).



No. 19
The following is a DFT calculation (PBE-GGA) of a geometry-optimized PmSm6Y12 structure.

As for the formation energy from the elements: 0.017 eV per atom. The calculation puts the total energy at -5.81 eV/atom. For the calculated volume, the calculation gives 1867.7 Å³/cell. As for the density of states at the Fermi level: 79.8 states/eV per cell.

The space group is R-3 (No. 148, hexagonal axes) and the conventional cell measures 15.6543, 15.6543 and 8.8003 Å, with angles of 90.00, 90.00 and 120.00 degrees. The asymmetric unit holds Pm at (0.0000, 0.0000, 0.0000), Sm at (0.0355, 0.7548, 0.3333), Y at (0.0174, 0.8771, 0.6665) and Y at (0.0704, 0.5090, 0.6673).



No. 20
The following is a DFT calculation (PBE-GGA) of a geometry-optimized KCd2As structure.

As for the formation energy from the elements: 0.114 eV per atom. The calculation puts the total energy at -1.78 eV/atom. For the calculated volume, the calculation gives 213.6 Å³/cell. As for the density of states at the Fermi level: 4.4 states/eV per cell.

The space group is Cmmm (No. 65) and the conventional cell measures 4.6191, 4.7137 and 9.8121 Å, with angles of 90.00, 90.00 and 90.00 degrees. The asymmetric unit holds K at (0.0000, 0.0000, 0.0000), Cd at (0.0000, 0.5000, 0.2886) and As at (0.0000, 0.0000, 0.5000).